# 1
First-principles (PBE) data for an optimized crystal structure of CaGdLu, as listed in Alexandria via LeMat-Bulk.

theoretical density	6.067	g/cm3
magnetization	7.8	Bohr magnetons per cell
energy of formation	1.96	kcal/mol of atoms
crystal system	trigonal
E_tot	-6.783	eV/atom
SG	P3m1

Unit cell a=3.608 b=3.608 c=9.037 alpha=90.00 beta=90.00 gamma=120.00
Positions (direct):
Ca (0.000, 0.000, 0.995)
Gd (0.667, 0.333, 0.351)
Lu (0.333, 0.667, 0.654)

***

# 2
First-principles (PBE) data for an optimized crystal structure of BiSeBr, as listed in Alexandria via LeMat-Bulk.

theoretical density	5.968	g/cm3
magnetization	0.0	Bohr magnetons per cell
crystal system	orthorhombic
E_tot	-3.560	eV/atom
SG	Pnma

Unit cell a=4.124 b=8.110 c=12.241 alpha=90.00 beta=90.00 gamma=90.00
Positions (direct):
Bi (0.250, 0.396, 0.626)
Bi (0.250, 0.896, 0.874)
Bi (0.750, 0.104, 0.126)
Bi (0.750, 0.604, 0.374)
Se (0.750, 0.800, 0.025)
Se (0.250, 0.700, 0.525)
Se (0.250, 0.200, 0.975)
Se (0.750, 0.300, 0.475)
Br (0.750, 0.560, 0.776)
Br (0.750, 0.060, 0.724)
Br (0.250, 0.440, 0.224)
Br (0.250, 0.940, 0.276)

***

# 3
First-principles (PBE) data for an optimized crystal structure of CsMgTe2I, as listed in Alexandria via LeMat-Bulk.

theoretical density	4.521	g/cm3
magnetization	0.0	Bohr magnetons per cell
crystal system	tetragonal
E_tot	-2.674	eV/atom
SG	P4/mmm

Unit cell a=5.593 b=5.593 c=6.333 alpha=90.00 beta=90.00 gamma=90.00
Positions (direct):
Cs (0.500, 0.500, 0.500)
I (0.000, 0.000, 0.500)
Mg (0.000, 0.000, 0.000)
Te (0.000, 0.500, 0.000)
Te (0.500, 0.000, 0.000)

***

# 4
First-principles (PBE) data for an optimized crystal structure of KFePt2, as listed in Alexandria via LeMat-Bulk.

theoretical density	11.181	g/cm3
magnetization	3.9	Bohr magnetons per cell
energy of formation	13.27	kcal/mol of atoms
crystal system	tetragonal
E_tot	-4.835	eV/atom
SG	I4/mmm

Unit cell a=5.000 b=5.000 c=5.000 alpha=129.76 beta=129.76 gamma=73.79
Positions (direct):
Fe (0.250, 0.750, 0.500)
K (0.750, 0.250, 0.500)
Pt (0.000, 0.000, 0.000)
Pt (0.500, 0.500, 0.000)

***

# 5
First-principles (PBE) data for an optimized crystal structure of CsHfSb, as listed in Alexandria via LeMat-Bulk.

theoretical density	5.384	g/cm3
magnetization	2.0	Bohr magnetons per cell
crystal system	trigonal
E_tot	-5.145	eV/atom
SG	R-3m

Unit cell a=4.630 b=4.630 c=14.641 alpha=80.90 beta=80.90 gamma=60.00
Positions (direct):
Hf (0.312, 0.312, 0.063)
Hf (0.688, 0.688, 0.937)
Cs (0.109, 0.109, 0.673)
Cs (0.891, 0.891, 0.327)
Sb (0.381, 0.381, 0.857)
Sb (0.619, 0.619, 0.143)

***

# 6
First-principles (PBE) data for an optimized crystal structure of LaYMnAg, as listed in Alexandria via LeMat-Bulk.

theoretical density	6.405	g/cm3
magnetization	3.1	Bohr magnetons per cell
energy of formation	0.73	kcal/mol of atoms
crystal system	cubic
E_tot	-5.821	eV/atom
SG	F-43m

Unit cell a=5.232 b=5.232 c=5.232 alpha=60.00 beta=60.00 gamma=60.00
Positions (direct):
Y (0.750, 0.750, 0.750)
Mn (0.000, 0.000, 0.000)
Ag (0.500, 0.500, 0.500)
La (0.250, 0.250, 0.250)

***

# 7
First-principles (PBE) data for an optimized crystal structure of NbMo3Cl, as listed in Alexandria via LeMat-Bulk.

theoretical density	6.077	g/cm3
magnetization	0.2	Bohr magnetons per cell
crystal system	cubic
E_tot	-6.742	eV/atom
SG	Pm-3m

Unit cell a=4.845 b=4.845 c=4.845 alpha=90.00 beta=90.00 gamma=90.00
Positions (direct):
Mo (0.000, 0.500, 0.000)
Mo (0.000, 0.000, 0.500)
Mo (0.500, 0.000, 0.000)
Nb (0.000, 0.000, 0.000)
Cl (0.500, 0.500, 0.500)

***

# 8
First-principles (PBE) data for an optimized crystal structure of BaTcIr2, as listed in Alexandria via LeMat-Bulk.

theoretical density	10.292	g/cm3
magnetization	0.0	Bohr magnetons per cell
energy of formation	3.06	kcal/mol of atoms
crystal system	trigonal
E_tot	-7.370	eV/atom
SG	R3m

Unit cell a=4.443 b=4.443 c=6.386 alpha=69.67 beta=69.67 gamma=60.00
Positions (direct):
Ba (0.249, 0.249, 0.255)
Ir (0.063, 0.063, 0.810)
Ir (0.757, 0.757, 0.730)
Tc (0.431, 0.431, 0.705)

***

# 9
First-principles (PBE) data for an optimized crystal structure of Na2LiZnHg6, as listed in Alexandria via LeMat-Bulk.

theoretical density	8.442	g/cm3
magnetization	0.0	Bohr magnetons per cell
energy of formation	-3.05	kcal/mol of atoms
crystal system	triclinic
E_tot	-0.896	eV/atom
SG	P-1

Unit cell a=8.494 b=6.180 c=8.443 alpha=62.43 beta=46.16 gamma=86.18
Positions (direct):
Na (0.106, 0.715, 0.660)
Na (0.894, 0.285, 0.340)
Li (0.500, 0.500, 0.000)
Zn (0.000, 0.000, 0.000)
Hg (0.375, 0.832, 0.788)
Hg (0.605, 0.685, 0.188)
Hg (0.098, 0.285, 0.546)
Hg (0.625, 0.168, 0.212)
Hg (0.395, 0.315, 0.812)
Hg (0.902, 0.715, 0.454)

***

# 10
First-principles (PBE) data for an optimized crystal structure of NdIn2AgI6, as listed in Alexandria via LeMat-Bulk.

theoretical density	4.372	g/cm3
magnetization	0.0	Bohr magnetons per cell
crystal system	trigonal
E_tot	-3.021	eV/atom
SG	R3

Unit cell a=8.390 b=8.388 c=9.138 alpha=62.66 beta=62.68 gamma=59.99
Positions (direct):
Nd (0.330, 0.330, 0.011)
In (0.530, 0.529, 0.412)
In (0.017, 0.017, 0.950)
Ag (0.746, 0.746, 0.763)
I (0.589, 0.225, 0.218)
I (0.225, 0.968, 0.218)
I (0.968, 0.589, 0.218)
I (0.453, 0.696, 0.742)
I (0.695, 0.110, 0.742)
I (0.110, 0.453, 0.742)

***

# 11
First-principles (PBE) data for an optimized crystal structure of Pa2CrSb, as listed in Alexandria via LeMat-Bulk.

theoretical density	11.706	g/cm3
magnetization	0.0	Bohr magnetons per cell
crystal system	trigonal
E_tot	-7.837	eV/atom
SG	R-3m

Unit cell a=3.170 b=3.170 c=10.526 alpha=81.34 beta=81.34 gamma=60.00
Positions (direct):
Sb (0.500, 0.500, 0.500)
Pa (0.075, 0.075, 0.774)
Pa (0.925, 0.925, 0.226)
Cr (0.000, 0.000, 0.000)

***

# 12
First-principles (PBE) data for an optimized crystal structure of RbUSn3, as listed in Alexandria via LeMat-Bulk.

theoretical density	5.466	g/cm3
magnetization	3.1	Bohr magnetons per cell
energy of formation	9.90	kcal/mol of atoms
crystal system	cubic
E_tot	-4.423	eV/atom
SG	Pm-3m

Unit cell a=5.910 b=5.910 c=5.910 alpha=90.00 beta=90.00 gamma=90.00
Positions (direct):
U (0.000, 0.000, 0.000)
Sn (0.000, 0.500, 0.000)
Sn (0.000, 0.000, 0.500)
Sn (0.500, 0.000, 0.000)
Rb (0.500, 0.500, 0.500)

***

# 13
First-principles (PBE) data for an optimized crystal structure of SrNd2Tl, as listed in Alexandria via LeMat-Bulk.

theoretical density	6.311	g/cm3
magnetization	0.0	Bohr magnetons per cell
energy of formation	1.79	kcal/mol of atoms
crystal system	trigonal
E_tot	-3.318	eV/atom
SG	R-3m

Unit cell a=3.780 b=3.780 c=12.534 alpha=81.33 beta=81.33 gamma=60.00
Positions (direct):
Sr (0.000, 0.000, 0.000)
Tl (0.500, 0.500, 0.500)
Nd (0.099, 0.099, 0.702)
Nd (0.901, 0.901, 0.298)

***

# 14
First-principles (PBE) data for an optimized crystal structure of La2TlPt, as listed in Alexandria via LeMat-Bulk.

theoretical density	8.834	g/cm3
magnetization	0.0	Bohr magnetons per cell
energy of formation	-16.97	kcal/mol of atoms
crystal system	trigonal
E_tot	-5.301	eV/atom
SG	R-3m

Unit cell a=4.161 b=4.161 c=8.823 alpha=76.37 beta=76.37 gamma=60.03
Positions (direct):
Tl (0.250, 0.250, 0.250)
Pt (0.750, 0.750, 0.750)
La (0.016, 0.016, 0.952)
La (0.484, 0.484, 0.548)

***

# 15
First-principles (PBE) data for an optimized crystal structure of ScMn2Au, as listed in Alexandria via LeMat-Bulk.

theoretical density	8.859	g/cm3
magnetization	6.3	Bohr magnetons per cell
energy of formation	-2.12	kcal/mol of atoms
crystal system	tetragonal
E_tot	-7.079	eV/atom
SG	I-4m2

Unit cell a=5.064 b=5.064 c=5.064 alpha=134.06 beta=134.06 gamma=66.99
Positions (direct):
Au (0.750, 0.250, 0.500)
Mn (0.000, 0.000, 0.000)
Mn (0.250, 0.750, 0.500)
Sc (0.500, 0.500, 0.000)

***

# 16
First-principles (PBE) data for an optimized crystal structure of NbFe3As, as listed in Alexandria via LeMat-Bulk.

theoretical density	5.918	g/cm3
magnetization	5.2	Bohr magnetons per cell
energy of formation	34.73	kcal/mol of atoms
crystal system	cubic
E_tot	-6.516	eV/atom
SG	Pm-3m

Unit cell a=4.548 b=4.548 c=4.548 alpha=90.00 beta=90.00 gamma=90.00
Positions (direct):
Nb (0.000, 0.000, 0.000)
As (0.500, 0.500, 0.500)
Fe (0.000, 0.500, 0.000)
Fe (0.000, 0.000, 0.500)
Fe (0.500, 0.000, 0.000)

***

# 17
First-principles (PBE) data for an optimized crystal structure of NbAs2RuW, as listed in Alexandria via LeMat-Bulk.

theoretical density	8.182	g/cm3
magnetization	0.0	Bohr magnetons per cell
energy of formation	29.28	kcal/mol of atoms
crystal system	tetragonal
E_tot	-7.050	eV/atom
SG	P4/mmm

Unit cell a=4.761 b=4.725 c=4.761 alpha=90.00 beta=90.00 gamma=90.00
Positions (direct):
Ru (0.000, 0.500, 0.000)
Nb (0.500, 0.500, 0.500)
As (0.000, 0.000, 0.500)
As (0.500, 0.000, 0.000)
W (0.000, 0.000, 0.000)

***

# 18
First-principles (PBE) data for an optimized crystal structure of Re5Si, as listed in Alexandria via LeMat-Bulk.

theoretical density	18.065	g/cm3
magnetization	0.0	Bohr magnetons per cell
crystal system	orthorhombic
E_tot	-11.147	eV/atom
SG	Cmmm

Unit cell a=5.926 b=5.926 c=3.980 alpha=90.00 beta=90.00 gamma=140.89
Positions (direct):
Re (0.336, 0.664, 0.500)
Re (0.171, 0.829, 0.000)
Re (0.000, 0.000, 0.500)
Re (0.829, 0.171, 0.000)
Re (0.664, 0.336, 0.500)
Si (0.500, 0.500, 0.000)

***

# 19
First-principles (PBE) data for an optimized crystal structure of NaSrMn2Sb, as listed in Alexandria via LeMat-Bulk.

theoretical density	3.877	g/cm3
magnetization	1.1	Bohr magnetons per cell
crystal system	tetragonal
E_tot	-3.976	eV/atom
SG	P4/mmm

Unit cell a=4.912 b=6.076 c=4.912 alpha=90.00 beta=90.00 gamma=90.00
Positions (direct):
Sb (0.000, 0.000, 0.000)
Mn (0.000, 0.000, 0.500)
Mn (0.500, 0.000, 0.000)
Na (0.500, 0.500, 0.500)
Sr (0.000, 0.500, 0.000)

***

# 20
First-principles (PBE) data for an optimized crystal structure of Rb2U3TaO12, as listed in Alexandria via LeMat-Bulk.

theoretical density	6.220	g/cm3
magnetization	1.0	Bohr magnetons per cell
crystal system	trigonal
E_tot	-8.890	eV/atom
SG	R-3m

Unit cell a=7.708 b=7.708 c=7.708 alpha=61.65 beta=61.65 gamma=61.65
Positions (direct):
Rb (0.628, 0.628, 0.628)
Rb (0.372, 0.372, 0.372)
U (0.500, 0.000, 0.000)
U (0.000, 0.500, 0.000)
U (0.000, 0.000, 0.500)
Ta (0.000, 0.000, 0.000)
O (0.321, 0.321, 0.936)
O (0.940, 0.940, 0.302)
O (0.302, 0.940, 0.940)
O (0.936, 0.321, 0.321)
O (0.940, 0.302, 0.940)
O (0.321, 0.936, 0.321)
O (0.679, 0.679, 0.064)
O (0.060, 0.060, 0.698)
O (0.698, 0.060, 0.060)
O (0.064, 0.679, 0.679)
O (0.060, 0.698, 0.060)
O (0.679, 0.064, 0.679)